## In2SnMoBr (GGA-PBE)

Data for a relaxed In2SnMoBr crystal.

Structure (POSCAR):
```
In2SnMoBr
1.0
5.7801 0.0000 0.0000
0.0000 5.7801 0.0000
0.0000 0.0000 5.6077
In Sn Mo Br
2 1 1 1
Direct
0.0000 0.5000 0.0000
0.5000 0.0000 0.0000
0.0000 0.0000 0.0000
0.5000 0.5000 0.5000
0.0000 0.0000 0.5000
```

Summary:
V: 187.35 Å³/f.u.
E: -16.711 eV per cell
space-group type: No. 123
calculated density: 4.65 g/cm3
energy above the lowest structure with this stoichiometry: 50 meV per atom